## K12Rb16Mg (PBE-GGA)

Data for a geometry-optimized K12Rb16Mg structure.

Structure (extended XYZ):
```
29
Lattice="11.537 8.387 -0.048 -11.537 8.387 -0.048 0.000 8.272 12.010" Properties=species:S:1:pos:R:3 pbc="T T T"
K 0.000 20.246 9.452
K 0.000 12.226 2.000
K 2.147 4.544 0.194
K 2.098 15.303 4.542
K -9.328 15.259 7.625
K -7.141 18.243 9.763
K -7.015 9.715 2.121
K 7.015 9.715 2.121
K 7.141 18.243 9.763
K 9.328 15.259 7.625
K -2.098 15.303 4.542
K -2.147 4.544 0.194
Rb 0.000 12.050 7.924
Rb 0.000 25.032 11.908
Rb 0.000 19.674 4.231
Rb 0.000 7.599 3.511
Rb 2.642 17.198 11.622
Rb 3.495 10.679 4.855
Rb 3.597 18.959 7.006
Rb 4.166 21.908 11.919
Rb 4.427 14.386 8.233
Rb -6.849 14.322 3.831
Rb 6.849 14.322 3.831
Rb -4.427 14.386 8.233
Rb -4.166 21.908 11.919
Rb -3.597 18.959 7.006
Rb -3.495 10.679 4.855
Rb -2.642 17.198 11.622
Mg 0.000 16.413 7.985
```

Summary:
Total moment = 0.00 Bohr magnetons per cell
V = 80.463 A^3/atom
Calculated formation energy = 0.04 eV/atom
Energy = -29.21 eV per cell